1.
Entry from Alexandria: crystalline AgRu2Rh at its relaxed geometry (PBEsol).

Output
Space-group type   Cmm2 (35)
Energy   -29.997 eV for the cell shown
ΔH_f (0 K)   449 meV per atom
Relative energy among the computed polymorphs   88.9 meV per atom

Geometry as extended XYZ:
```
4
Lattice="2.6583 0.0024 0.0000 -1.2660 2.3375 0.0000 0.0000 0.0000 9.2647" Properties=species:S:1:pos:R:3 pbc="T T T"
Ag 0.0000 0.0000 4.6241
Rh 0.6962 1.1700 2.2131
Ru 0.0000 0.0000 9.2459
Ru 0.6962 1.1700 7.0788
```


2.
Entry from Alexandria: crystalline AgRu2Rh at its relaxed geometry (PBEsol).

Output
Space-group type   Cm (8)
Energy   -30.352 eV for the cell shown
ΔH_f (0 K)   360 meV per atom
Relative energy among the computed polymorphs   0.0 meV per atom

Geometry as extended XYZ:
```
4
Lattice="-1.3093 0.4860 2.2980 -2.3743 -3.3725 -2.2129 3.1167 -2.6816 2.3428" Properties=species:S:1:pos:R:3 pbc="T T T"
Ag 0.9195 -1.1145 2.3330
Rh 0.8096 -3.6317 1.2293
Ru 0.0292 -0.0366 0.0244
Ru -1.4215 -1.8832 1.1618
```


3.
Entry from Alexandria: crystalline AgRuRh at its relaxed geometry (PBEsol).

Output
Space-group type   P3m1 (156)
Energy   -19.861 eV for the cell shown
ΔH_f (0 K)   587 meV per atom
Relative energy among the computed polymorphs   0.0 meV per atom

Geometry as extended XYZ:
```
3
Lattice="2.6298 0.0000 0.0000 0.0000 4.3710 0.0000 0.0000 -2.1855 3.7854" Properties=species:S:1:pos:R:3 pbc="T T T"
Ag 2.5385 0.0000 0.0000
Rh 1.8988 0.0000 2.5236
Ru 0.8223 2.1855 1.2618
```


4.
Entry from Alexandria: crystalline AgRuRh at its relaxed geometry (PBEsol).

Output
Space-group type   F-43m (216)
Energy   -17.466 eV for the cell shown
ΔH_f (0 K)   1385 meV per atom
Relative energy among the computed polymorphs   798.2 meV per atom

Geometry as extended XYZ:
```
3
Lattice="4.1556 0.0000 0.0000 2.0778 3.5989 0.0000 2.0778 1.1996 3.3931" Properties=species:S:1:pos:R:3 pbc="T T T"
Ag 2.0778 1.1996 0.8483
Rh 0.0000 0.0000 0.0000
Ru 4.1556 2.3992 1.6965
```


5.
Entry from Alexandria: crystalline Ag2SbRh at its relaxed geometry (PBEsol).

Output
Space-group type   I4/mmm (139)
Energy   -19.383 eV for the cell shown
E_form (uncorrected)   -0.016 eV per atom

Geometry as extended XYZ:
```
4
Lattice="3.8496 0.0000 0.0000 0.0000 3.8496 0.0000 -1.9248 -1.9248 4.5761" Properties=species:S:1:pos:R:3 pbc="T T T"
Ag 1.9248 0.0000 2.2881
Ag 0.0000 1.9248 2.2881
Rh 1.9248 1.9248 0.0000
Sb 0.0000 0.0000 0.0000
```


6.
Entry from Alexandria: crystalline AgSb2Rh at its relaxed geometry (PBEsol).

Output
Space-group type   P2/m (10)
Energy   -20.861 eV for the cell shown
E_form (uncorrected)   -0.074 eV per atom

Geometry as extended XYZ:
```
4
Lattice="-1.2095 1.7847 2.3540 1.7325 -1.6319 2.1274 5.7515 5.0426 -0.8156" Properties=species:S:1:pos:R:3 pbc="T T T"
Ag 0.2615 0.0764 2.2407
Rh 3.1372 2.5977 1.8329
Sb 2.9255 5.4017 1.7612
Sb 1.6165 1.4256 -0.2228
```


7.
Entry from Alexandria: crystalline AgSbTe2Rh at its relaxed geometry (PBEsol).

Output
Space-group type   P4/mmm (123)
Energy   -20.771 eV for the cell shown
E_form (uncorrected)   0.458 eV per atom

Geometry as extended XYZ:
```
5
Lattice="-3.4993 -2.4310 -2.3955 -1.7827 -1.9322 4.5650 -3.2172 4.1417 0.4967" Properties=species:S:1:pos:R:3 pbc="T T T"
Sb -1.7497 -1.2155 -1.1977
Te -1.6086 2.0708 0.2483
Te -0.8914 -0.9661 2.2825
Rh 0.0000 0.0000 0.0000
Ag -4.2496 -0.1107 1.3331
```


8.
Entry from Alexandria: crystalline ScAgRh2 at its relaxed geometry (PBEsol).

Output
Space-group type   Pmm2 (25)
Energy   -27.277 eV for the cell shown
ΔH_f (0 K)   -271 meV per atom

Geometry as extended XYZ:
```
4
Lattice="2.8803 0.0000 0.0000 0.0000 3.8746 0.0000 0.0000 0.0000 5.5688" Properties=species:S:1:pos:R:3 pbc="T T T"
Ag 1.4402 1.9373 4.2401
Rh 0.0000 0.0000 0.0872
Rh 1.4402 1.9373 1.3498
Sc 0.0000 0.0000 2.6761
```


9.
Entry from Alexandria: crystalline ScAgRh2 at its relaxed geometry (PBEsol).

Output
Space-group type   C2/m (12)
Energy   -27.344 eV for the cell shown
ΔH_f (0 K)   -288 meV per atom

Geometry as extended XYZ:
```
4
Lattice="-1.6590 2.2948 0.7172 -0.0669 -3.0397 3.6227 3.9907 2.6139 0.8673" Properties=species:S:1:pos:R:3 pbc="T T T"
Ag -0.8295 1.1474 0.3586
Rh 1.7287 2.1868 2.9503
Rh 0.5361 -0.3178 2.2570
Sc 1.9953 1.3070 0.4337
```


10.
Entry from Alexandria: crystalline ScAgRh2 at its relaxed geometry (PBEsol).

Output
Space-group type   P4/mmm (123)
Energy   -27.911 eV for the cell shown
ΔH_f (0 K)   -430 meV per atom

Geometry as extended XYZ:
```
4
Lattice="-2.3457 2.9878 -0.3945 -1.7487 -0.9142 3.4742 2.6236 2.3146 1.9296" Properties=species:S:1:pos:R:3 pbc="T T T"
Ag -1.1729 1.4939 -0.1972
Rh 1.3118 1.1573 0.9648
Rh -0.8744 -0.4571 1.7371
Sc -0.7354 2.1941 2.5047
```


11.
Entry from Alexandria: crystalline ScAgRh at its relaxed geometry (PBEsol).

Output
Space-group type   F-43m (216)
Energy   -17.914 eV for the cell shown
ΔH_f (0 K)   47 meV per atom
Relative energy among the computed polymorphs   493.3 meV per atom

Geometry as extended XYZ:
```
3
Lattice="4.3144 0.0000 0.0000 2.1572 3.7364 0.0000 2.1572 1.2455 3.5227" Properties=species:S:1:pos:R:3 pbc="T T T"
Ag 0.0000 0.0000 0.0000
Rh 4.3144 2.4909 1.7614
Sc 2.1572 1.2455 0.8807
```


12.
Entry from Alexandria: crystalline ScAgRh2 at its relaxed geometry (PBEsol).

Output
Space-group type   I-4m2 (119)
Energy   -27.538 eV for the cell shown
ΔH_f (0 K)   -336 meV per atom

Geometry as extended XYZ:
```
4
Lattice="-1.5926 -3.5574 -0.4688 1.3712 -0.1294 -3.6762 3.4899 0.1566 3.3923" Properties=species:S:1:pos:R:3 pbc="T T T"
Ag 2.3752 -0.9081 -1.1782
Rh 0.0000 0.0000 0.0000
Rh 0.8933 -2.6221 0.4255
Sc -0.1107 -1.8434 -2.0725
```


13.
Entry from Alexandria: crystalline ScAgRh at its relaxed geometry (PBEsol).

Output
Space-group type   I4mm (107)
Energy   -19.393 eV for the cell shown
ΔH_f (0 K)   -446 meV per atom
Relative energy among the computed polymorphs   0.0 meV per atom

Geometry as extended XYZ:
```
3
Lattice="-1.6301 -1.7847 2.2205 2.6233 -1.9380 0.3682 1.0699 4.6218 2.0742" Properties=species:S:1:pos:R:3 pbc="T T T"
Ag 0.0088 0.0155 0.0189
Rh 1.0535 -0.8799 2.4919
Sc 1.0008 1.7636 2.1522
```


14.
Entry from Alexandria: crystalline AgRhSe at its relaxed geometry (PBEsol).

Output
Space-group type   F-43m (216)
Energy   -14.482 eV for the cell shown
E_form (uncorrected)   0.273 eV per atom

Geometry as extended XYZ:
```
3
Lattice="4.2287 0.0000 0.0000 2.1144 3.6622 0.0000 2.1144 1.2207 3.4528" Properties=species:S:1:pos:R:3 pbc="T T T"
Ag 0.0000 0.0000 0.0000
Rh 4.2287 2.4415 1.7264
Se 2.1144 1.2207 0.8632
```


15.
Entry from Alexandria: crystalline SiAgRh2 at its relaxed geometry (PBEsol).

Output
Space-group type   Amm2 (38)
Energy   -26.066 eV for the cell shown
E_form (uncorrected)   -0.183 eV per atom

Geometry as extended XYZ:
```
4
Lattice="-0.7585 -0.3479 -2.6533 3.0436 -2.1834 -0.5839 -2.4804 -4.1839 2.7155" Properties=species:S:1:pos:R:3 pbc="T T T"
Ag 0.1172 -2.8282 -1.1206
Rh -0.3107 -0.4735 0.1509
Rh -0.8089 -4.6435 0.8401
Si -2.3295 -3.1458 -0.3795
```


16.
Entry from Alexandria: crystalline SiAgRh2 at its relaxed geometry (PBEsol).

Output
Space-group type   P4/mmm (123)
Energy   -27.308 eV for the cell shown
E_form (uncorrected)   -0.493 eV per atom

Geometry as extended XYZ:
```
4
Lattice="2.8538 0.0000 0.0000 0.0000 2.8538 0.0000 0.0000 0.0000 6.7636" Properties=species:S:1:pos:R:3 pbc="T T T"
Si 1.4269 1.4269 0.0000
Rh 0.0000 0.0000 5.3789
Rh 0.0000 0.0000 1.3847
Ag 1.4269 1.4269 3.3818
```


17.
Entry from Alexandria: crystalline SrSiAgRh2 at its relaxed geometry (PBEsol).

Output
Space-group type   P4/mmm (123)
Energy   -28.307 eV for the cell shown
E_form (uncorrected)   -0.226 eV per atom

Geometry as extended XYZ:
```
5
Lattice="4.5139 0.0000 0.0000 0.0000 4.5139 0.0000 0.0000 0.0000 4.7481" Properties=species:S:1:pos:R:3 pbc="T T T"
Sr 2.2570 2.2570 2.3740
Si 0.0000 0.0000 0.0000
Rh 0.0000 2.2570 0.0000
Rh 2.2570 0.0000 0.0000
Ag 0.0000 0.0000 2.3740
```


18.
Entry from Alexandria: crystalline Si2TcAgRh at its relaxed geometry (PBEsol).

Output
Space-group type   P4/mmm (123)
Energy   -25.581 eV for the cell shown
E_form (uncorrected)   1.726 eV per atom

Geometry as extended XYZ:
```
5
Lattice="4.4764 0.0000 0.0000 0.0000 4.4764 0.0000 0.0000 0.0000 4.8453" Properties=species:S:1:pos:R:3 pbc="T T T"
Si 0.0000 2.2382 0.0000
Si 2.2382 0.0000 0.0000
Rh 0.0000 0.0000 2.4227
Tc 2.2382 2.2382 2.4227
Ag 0.0000 0.0000 0.0000
```


19.
Entry from Alexandria: crystalline AgSn2Rh2 at its relaxed geometry (PBEsol).

Output
Space-group type   P4/mbm (127)
Energy   -59.029 eV for the cell shown
ΔH_f (0 K)   -282 meV per atom

Geometry as extended XYZ:
```
10
Lattice="-2.4403 -0.1161 1.7547 -4.3528 -1.0563 -6.1234 0.8525 -7.5072 0.6890" Properties=species:S:1:pos:R:3 pbc="T T T"
Rh -1.2907 -5.0269 0.4506
Rh -3.2828 -7.1779 -2.4621
Rh -4.6500 -3.6526 -4.1304
Rh -2.6579 -1.5016 -1.2176
Sn -0.7848 -6.7162 -1.5356
Sn -3.1248 -5.8035 -4.7296
Sn -2.7156 -1.8472 -3.8988
Sn -0.3756 -2.7599 -0.7048
Ag 0.0000 0.0000 0.0000
Ag -1.7502 -4.2817 -2.7172
```


20.
Entry from Alexandria: crystalline Zr2AgSnRh at its relaxed geometry (PBEsol).

Output
Space-group type   P4/mmm (123)
Energy   -30.077 eV for the cell shown
ΔH_f (0 K)   762 meV per atom

Geometry as extended XYZ:
```
5
Lattice="4.7777 0.0000 0.0000 0.0000 4.9536 0.0000 0.0000 0.0000 4.9536" Properties=species:S:1:pos:R:3 pbc="T T T"
Zr 0.0000 0.0000 2.4768
Zr 0.0000 2.4768 0.0000
Rh 2.3888 0.0000 0.0000
Sn 2.3888 2.4768 2.4768
Ag 0.0000 0.0000 0.0000
```